1.
# Fe2Cu2SbAsP2 | OQMD via LeMat-Bulk | PBE | relaxed
# Crystal system: tetragonal
data_Fe2Cu2SbAsP2
_chemical_formula_sum 'Fe2 Cu2 Sb1 As1 P2'
_space_group_name_H-M_alt 'P -4 m 2'
_space_group_IT_number 115
_space_group_name_Hall 'P -4 -2'
_cell_length_a 3.9541
_cell_length_b 3.9541
_cell_length_c 7.6348
_cell_angle_alpha 90.00
_cell_angle_beta 90.00
_cell_angle_gamma 90.00
loop_
_atom_site_label
_atom_site_type_symbol
_atom_site_fract_x
_atom_site_fract_y
_atom_site_fract_z
_atom_site_occupancy
Fe1 Fe 0.0000 0.5000 0.2337 1
Cu1 Cu 0.0000 0.0000 0.5000 1
Cu2 Cu 0.5000 0.5000 0.5000 1
Sb1 Sb 0.0000 0.0000 0.0000 1
As1 As 0.5000 0.5000 0.0000 1
P1 P 0.0000 0.5000 0.6802 1

---

2.
# FeCuAsPb | OQMD via LeMat-Bulk | PBE | relaxed
# Crystal system: cubic
data_FeCuAsPb
_chemical_formula_sum 'Fe4 Cu4 As4 Pb4'
_space_group_name_H-M_alt 'F -4 3 m'
_space_group_IT_number 216
_space_group_name_Hall 'F -4 2 3'
_cell_length_a 6.6767
_cell_length_b 6.6767
_cell_length_c 6.6767
_cell_angle_alpha 90.00
_cell_angle_beta 90.00
_cell_angle_gamma 90.00
loop_
_atom_site_label
_atom_site_type_symbol
_atom_site_fract_x
_atom_site_fract_y
_atom_site_fract_z
_atom_site_occupancy
Fe1 Fe 0.0000 0.0000 0.0000 1
Cu1 Cu 0.2500 0.2500 0.2500 1
As1 As 0.2500 0.2500 0.7500 1
Pb1 Pb 0.0000 0.0000 0.5000 1

---

3.
# FeCuAsPb | OQMD via LeMat-Bulk | PBE | relaxed
# Crystal system: cubic
data_FeCuAsPb
_chemical_formula_sum 'Fe4 Cu4 As4 Pb4'
_space_group_name_H-M_alt 'F -4 3 m'
_space_group_IT_number 216
_space_group_name_Hall 'F -4 2 3'
_cell_length_a 6.4096
_cell_length_b 6.4096
_cell_length_c 6.4096
_cell_angle_alpha 90.00
_cell_angle_beta 90.00
_cell_angle_gamma 90.00
loop_
_atom_site_label
_atom_site_type_symbol
_atom_site_fract_x
_atom_site_fract_y
_atom_site_fract_z
_atom_site_occupancy
Fe1 Fe 0.0000 0.0000 0.0000 1
Cu1 Cu 0.0000 0.0000 0.5000 1
As1 As 0.2500 0.2500 0.2500 1
Pb1 Pb 0.2500 0.2500 0.7500 1

---

4.
# PrFeCu2As4 | OQMD via LeMat-Bulk | PBE | relaxed
# Crystal system: tetragonal
data_PrFeCu2As4
_chemical_formula_sum 'Pr1 Fe1 Cu2 As4'
_space_group_name_H-M_alt 'P 4 m m'
_space_group_IT_number 99
_space_group_name_Hall 'P 4 -2'
_cell_length_a 3.9252
_cell_length_b 3.9252
_cell_length_c 9.2650
_cell_angle_alpha 90.00
_cell_angle_beta 90.00
_cell_angle_gamma 90.00
loop_
_atom_site_label
_atom_site_type_symbol
_atom_site_fract_x
_atom_site_fract_y
_atom_site_fract_z
_atom_site_occupancy
Pr1 Pr 0.0000 0.0000 0.0000 1
Fe1 Fe 0.5000 0.5000 0.4467 1
Cu1 Cu 0.0000 0.5000 0.7078 1
As1 As 0.0000 0.0000 0.5445 1
As2 As 0.0000 0.5000 0.2695 1
As3 As 0.5000 0.5000 0.8784 1

---

| no. | total DFT energy (no corrections) (eV per atom) |
| --- | --- |
| 1 | -5.1722 |
| 2 | -4.5012 |
| 3 | -4.6078 |
| 4 | -5.1433 |